Record 1
PBE Y4InHg, relaxed; calculated volume = 32.215 A^3/atom; N(E_F) = 6.6 states/eV per cell; crystal system = tetragonal; polymorph energy (0 for the lowest one) = 0.000 eV per atom; magnetization = 0.00 μB/f.u.
1.0
5.135 0.000 -0.002
0.000 5.135 -0.003
0.003 0.005 7.330
Hg In Y
1 1 4
Direct
0.001 0.997 0.498
0.501 0.497 0.998
0.501 0.997 0.741
0.001 0.497 0.255
0.501 0.997 0.255
0.001 0.497 0.741


Record 2
PBE YIn2Hg, relaxed; total energy = -3.364 eV per atom; calculated volume = 25.587 A^3/atom; N(E_F) = 3.2 states/eV per cell; crystal system = tetragonal; magnetization = 0.00 μB/f.u.
1.0
-5.596 -0.986 1.935
-0.534 -2.901 5.228
3.110 4.711 -2.041
Y Hg In
1 1 2
Direct
0.250 0.750 0.500
0.750 0.250 0.500
0.500 0.500 0.000
0.000 0.000 0.000


Record 3
PBE YInHg, relaxed; total energy = -3.575 eV per atom; calculated volume = 25.427 A^3/atom; N(E_F) = 4.2 states/eV per cell; crystal system = orthorhombic; magnetization = 0.00 μB/f.u.
1.0
7.660 0.001 0.027
0.000 4.569 0.000
1.349 0.000 4.364
Y Hg In
2 2 2
Direct
0.847 0.735 0.855
0.226 0.735 0.166
0.532 0.735 0.513
0.178 0.235 0.690
0.878 0.235 0.339
0.536 0.235 0.011